A geometry-optimized ZnMoSe2 structure. Source: Alexandria, functional PBE.

Computed properties:
**Calculated total energy**: -4.922 eV/atom

```
data_ZnMoSe2
_cell_length_a 8.529
_cell_length_b 3.299
_cell_length_c 5.924
_cell_angle_alpha 90.00
_cell_angle_beta 104.79
_cell_angle_gamma 90.00
_space_group_name_H-M_alt 'C 1 m 1'
_space_group_IT_number 8
_space_group_name_Hall 'C -2y'
loop_
_atom_site_label
_atom_site_fract_x
_atom_site_fract_y
_atom_site_fract_z
Zn1 0.000 0.000 0.000
Mo1 0.439 0.500 0.531
Se1 0.159 0.500 0.603
Se2 0.317 0.000 0.196
```

A geometry-optimized NbSi3Os structure. Source: Alexandria, functional PBE.

Computed properties:
**Relative energy among the computed polymorphs**: 0.0 meV per atom
**Calculated total energy**: -6.553 eV/atom

```
data_NbSi3Os
_cell_length_a 4.616
_cell_length_b 4.616
_cell_length_c 4.616
_cell_angle_alpha 90.00
_cell_angle_beta 90.00
_cell_angle_gamma 90.00
_space_group_name_H-M_alt 'P m -3 m'
_space_group_IT_number 221
_space_group_name_Hall '-P 4 2 3'
loop_
_atom_site_label
_atom_site_fract_x
_atom_site_fract_y
_atom_site_fract_z
Nb1 0.000 0.000 0.000
Si1 0.000 0.500 0.500
Os1 0.500 0.500 0.500
```

Number 1: total magnetization 0.00 μB/f.u.. Number 2: total magnetization 3.26 μB/f.u..